1.
This record from Alexandria describes an optimized crystal structure of VAgTe4. The functional is PBE.

For the uncorrected energy, the calculation gives -4.16 eV/atom. The calculated volume comes out at 26.40 Å³/atom. The magnetic moment is 0.00 μB/cell. The density of states at the Fermi level is 4.3 states/eV per cell. The crystal system is monoclinic.

Structure (POSCAR):
```
VAgTe4
1.0
4.3216 -6.4873 0.0000
4.3216 6.4873 0.0000
-3.2084 0.0000 5.6490
V Ag Te
2 2 8
Direct
0.0000 0.0000 0.2500 V
0.0000 0.0000 0.7500 V
0.3586 0.6414 0.7500 Ag
0.6414 0.3586 0.2500 Ag
0.0402 0.7131 0.4209 Te
0.2079 0.3382 0.1828 Te
0.2869 0.9598 0.0791 Te
0.3382 0.2079 0.6828 Te
0.6618 0.7921 0.3172 Te
0.7131 0.0402 0.9209 Te
0.7921 0.6618 0.8172 Te
0.9598 0.2869 0.5791 Te
```

2.
This record from Alexandria describes an optimized crystal structure of Sm3GaRu2. The functional is PBE.

For the uncorrected energy, the calculation gives -6.25 eV/atom. The calculated volume comes out at 22.59 Å³/atom. The magnetic moment is 0.00 μB/cell. The density of states at the Fermi level is 3.9 states/eV per cell. The crystal system is orthorhombic. The calculation puts the formation energy at -169.7 kJ/mol of formula units.

Structure (POSCAR):
```
Sm3GaRu2
1.0
-2.1242 2.1356 7.4697
2.1242 -2.1356 7.4697
2.1242 2.1356 -7.4697
Sm Ga Ru
3 1 2
Direct
0.0000 0.0000 0.0000 Sm
0.3199 0.8199 0.5000 Sm
0.6801 0.1801 0.5000 Sm
0.5000 0.5000 0.0000 Ga
0.1245 0.6245 0.5000 Ru
0.8755 0.3755 0.5000 Ru
```

3.
This record from Alexandria describes an optimized crystal structure of Er3CuTe. The functional is PBE.

For the uncorrected energy, the calculation gives -4.75 eV/atom. The calculated volume comes out at 25.86 Å³/atom. The magnetic moment is 0.00 μB/cell. The density of states at the Fermi level is 8.0 states/eV per cell. The crystal system is monoclinic.

Structure (POSCAR):
```
Er3CuTe
1.0
10.8396 -1.9566 0.0000
10.8396 1.9566 0.0000
-0.9516 0.0000 6.0958
Er Cu Te
6 2 2
Direct
0.0037 0.0037 0.2572 Er
0.2003 0.2003 0.1293 Er
0.3669 0.3669 0.4273 Er
0.6331 0.6331 0.5727 Er
0.7997 0.7997 0.8707 Er
0.9963 0.9963 0.7428 Er
0.2314 0.2314 0.6106 Cu
0.7686 0.7686 0.3894 Cu
0.4116 0.4116 0.9628 Te
0.5884 0.5884 0.0372 Te
```